No. 1
Here is a geometry-optimized ZrTaSbTe2 structure from the Alexandria database. Energies are from PBE.

```
data_ZrTaSbTe2
_cell_length_a 5.357
_cell_length_b 5.357
_cell_length_c 5.366
_cell_angle_alpha 90.00
_cell_angle_beta 90.00
_cell_angle_gamma 90.00
_space_group_name_H-M_alt 'P 1'
_space_group_IT_number 1
loop_
_space_group_symop_operation_xyz
'x,y,z'
loop_
_atom_site_label
_atom_site_type_symbol
_atom_site_fract_x
_atom_site_fract_y
_atom_site_fract_z
Zr1 Zr 0.000 0.000 0.000
Ta1 Ta 0.500 0.500 0.500
Sb1 Sb 0.500 0.500 0.000
Te1 Te 0.000 0.500 0.500
Te2 Te 0.500 0.000 0.500
```

Output
Formation energy without anion corrections ... 293 kJ/mol of formula units
Excess energy over the best structure of this formula in the dataset ... 0.00 eV/f.u.
SG ... P4/mmm (123)

No. 2
Here is a geometry-optimized Rb2Be2Pt structure from the Alexandria database. Energies are from PBE.

```
data_Rb2Be2Pt
_cell_length_a 9.861
_cell_length_b 9.861
_cell_length_c 2.911
_cell_angle_alpha 90.00
_cell_angle_beta 90.00
_cell_angle_gamma 90.00
_space_group_name_H-M_alt 'P 1'
_space_group_IT_number 1
loop_
_space_group_symop_operation_xyz
'x,y,z'
loop_
_atom_site_label
_atom_site_type_symbol
_atom_site_fract_x
_atom_site_fract_y
_atom_site_fract_z
Rb1 Rb 0.210 0.290 0.000
Rb2 Rb 0.290 0.790 0.000
Rb3 Rb 0.710 0.210 0.000
Rb4 Rb 0.790 0.710 0.000
Be1 Be 0.075 0.575 0.500
Be2 Be 0.425 0.075 0.500
Be3 Be 0.575 0.925 0.500
Be4 Be 0.925 0.425 0.500
Pt1 Pt 0.000 0.000 0.000
Pt2 Pt 0.500 0.500 0.000
```

Output
Excess energy over the best structure of this formula in the dataset ... 2.76 eV/f.u.
ΔE_f ... 1.190 eV per atom
SG ... P4/mbm (127)

Number 1: calculated total energy -5.554 eV per atom. Number 2: calculated total energy -1.896 eV per atom.